Entry 1:
# Nd2SmIr2

A relaxed Nd2SmIr2 crystal (PBE-GGA, the Alexandria database).

- D(E_F): 15.7 states/eV per cell
- Uncorrected energy: -6.960 eV/atom
- Formation energy from the elements: -0.5646 eV/atom
- Spin magnetization: 0.0 μB/f.u.

a b c (Å): 12.6608 4.1589 11.2833
angles (deg): 90.00 120.44 90.00
Space group C2/m (No. 12)
One atom of each set of equivalent atoms:
1 Nd 0.0425 0.0000 0.1969 x4
2 Nd 0.1715 0.0000 0.5841 x4
3 Sm 0.2006 0.5000 0.8612 x4
4 Ir 0.0295 0.5000 0.3969 x4
5 Ir 0.1248 0.5000 0.0706 x4

---

Entry 2:
# La2ThGa3Pt4

A relaxed La2ThGa3Pt4 crystal (PBE-GGA, the Alexandria database).

- D(E_F): 5.2 states/eV per cell
- Uncorrected energy: -6.023 eV/atom
- Formation energy from the elements: -0.9707 eV/atom
- Spin magnetization: 0.0 μB/f.u.

a b c (Å): 4.4674 4.4674 11.0546
angles (deg): 90.00 90.00 90.00
Space group P-4m2 (No. 115)
One atom of each set of equivalent atoms:
1 La 0.0000 0.5000 0.2207 x2
2 Th 0.0000 0.0000 0.5000 x1
3 Ga 0.0000 0.5000 0.8843 x2
4 Ga 0.5000 0.5000 0.5000 x1
5 Pt 0.0000 0.0000 0.0000 x1
6 Pt 0.0000 0.5000 0.6574 x2
7 Pt 0.5000 0.5000 0.0000 x1

---

Entry 3:
# Ti2BrCl3

A relaxed Ti2BrCl3 crystal (PBE-GGA, the Alexandria database).

- Uncorrected energy: -5.230 eV/atom
- Excess energy over the best structure of this formula in the dataset: 0.000 eV/atom
- ΔE_f (raw): -1.396 eV per atom
- Spin magnetization: 0.0 μB/f.u.

a b c (Å): 3.3249 3.3249 28.5172
angles (deg): 90.00 90.00 120.00
Space group P3m1 (No. 156)
One atom of each set of equivalent atoms:
1 Ti 0.0000 0.0000 0.0000 x1
2 Ti 0.0000 0.0000 0.4860 x1
3 Ti 0.6667 0.3333 0.2434 x1
4 Ti 0.6667 0.3333 0.7403 x1
5 Br 0.0000 0.0000 0.6795 x1
6 Br 0.0000 0.0000 0.8011 x1
7 Cl 0.0000 0.0000 0.1883 x1
8 Cl 0.0000 0.0000 0.2986 x1
9 Cl 0.6667 0.3333 0.0551 x1
10 Cl 0.6667 0.3333 0.4309 x1
11 Cl 0.6667 0.3333 0.5412 x1
12 Cl 0.6667 0.3333 0.9449 x1

---

Entry 4:
# Ga2TcCI

A relaxed Ga2TcCI crystal (PBE-GGA, the Alexandria database).

- D(E_F): 3.3 states/eV per cell
- Uncorrected energy: -4.553 eV/atom
- ΔE_f (raw): 0.886 eV per atom
- Spin magnetization: 0.0 μB/f.u.

a b c (Å): 4.8332 4.8332 4.0296
angles (deg): 90.00 90.00 90.00
Space group P4/mmm (No. 123)
One atom of each set of equivalent atoms:
1 Ga 0.0000 0.5000 0.0000 x2
2 Tc 0.0000 0.0000 0.5000 x1
3 C 0.0000 0.0000 0.0000 x1
4 I 0.5000 0.5000 0.5000 x1

---

Entry 5:
# Pr5Er

A relaxed Pr5Er crystal (PBE-GGA, the Alexandria database).

- D(E_F): 16.6 states/eV per cell
- Uncorrected energy: -4.730 eV/atom
- Formation energy from the elements: 0.0135 eV/atom
- Spin magnetization: 0.0 μB/f.u.

a b c (Å): 5.2131 11.0271 7.3492
angles (deg): 90.00 90.00 90.00
Space group Pmmn (No. 59, origin choice 2)
One atom of each set of equivalent atoms:
1 Pr 0.2500 0.0830 0.1233 x4
2 Pr 0.2500 0.0853 0.6273 x4
3 Pr 0.2500 0.7500 0.6263 x2
4 Er 0.2500 0.7500 0.1230 x2

---

Entry 6:
# Mn5CrH5

A relaxed Mn5CrH5 crystal (PBE-GGA, the Alexandria database).

- D(E_F): 9.2 states/eV per cell
- Uncorrected energy: -6.622 eV/atom
- Spin magnetization: 0.1 μB/f.u.

a b c (Å): 8.4309 3.7164 5.2871
angles (deg): 90.00 109.42 90.00
Space group C2/m (No. 12)
One atom of each set of equivalent atoms:
1 Mn 0.0000 0.0000 0.0000 x2
2 Mn 0.1645 0.5000 0.3288 x4
3 Mn 0.1651 0.5000 0.8395 x4
4 Cr 0.0000 0.0000 0.5000 x2
5 H 0.0000 0.5000 0.5000 x2
6 H 0.1661 0.0000 0.3345 x4
7 H 0.1665 0.0000 0.8313 x4

---

Entry 7:
# PmFeTcP2

A relaxed PmFeTcP2 crystal (PBE-GGA, the Alexandria database).

- D(E_F): 5.7 states/eV per cell
- Uncorrected energy: -7.788 eV/atom
- Formation energy from the elements: -0.9083 eV/atom
- Spin magnetization: 0.0 μB/f.u.

a b c (Å): 4.0162 4.0162 9.8807
angles (deg): 90.00 90.00 90.00
Space group I-4m2 (No. 119)
One atom of each set of equivalent atoms:
1 Pm 0.0000 0.0000 0.0000 x2
2 Fe 0.0000 0.5000 0.2500 x2
3 Tc 0.0000 0.5000 0.7500 x2
4 P 0.0000 0.0000 0.3635 x4

---

Entry 8:
# Ca2RhCl

A relaxed Ca2RhCl crystal (PBE-GGA, the Alexandria database).

- D(E_F): 4.3 states/eV per cell
- Uncorrected energy: -4.295 eV/atom
- Excess energy over the best structure of this formula in the dataset: 0.069 eV/atom
- ΔE_f (raw): -0.994 eV per atom
- Spin magnetization: 0.0 μB/f.u.

a b c (Å): 6.8658 3.9958 7.6265
angles (deg): 90.00 107.55 90.00
Space group C2/m (No. 12)
One atom of each set of equivalent atoms:
1 Ca 0.2382 0.0000 0.2202 x4
2 Rh 0.0000 0.5000 0.0000 x2
3 Cl 0.0000 0.0000 0.5000 x2

---

Entry 9:
# Cr2FeCu

A relaxed Cr2FeCu crystal (PBE-GGA, the Alexandria database).

- D(E_F): 7.2 states/eV per cell
- Uncorrected energy: -7.814 eV/atom
- Formation energy from the elements: 0.1371 eV/atom
- Excess energy over the best structure of this formula in the dataset: 0.000 eV/atom
- Spin magnetization: 2.1 μB/f.u.

a b c (Å): 2.9087 3.9176 8.1693
angles (deg): 90.00 90.00 90.00
Space group Cmm2 (No. 35)
One atom of each set of equivalent atoms:
1 Cr 0.0000 0.0000 0.0000 x2
2 Cr 0.0000 0.5000 0.2449 x2
3 Fe 0.0000 0.0000 0.4886 x2
4 Cu 0.0000 0.5000 0.7420 x2

---

Entry 10:
# AlIO4

A relaxed AlIO4 crystal (PBE-GGA, the Alexandria database).

- D(E_F): 0.0 states/eV per cell
- Uncorrected energy: -5.356 eV/atom
- ΔE_f (raw): -1.168 eV per atom
- Spin magnetization: 0.0 μB/f.u.

a b c (Å): 9.5156 5.3674 6.8648
angles (deg): 90.00 106.55 90.00
Space group C2/c (No. 15)
One atom of each set of equivalent atoms:
1 Al 0.2500 0.2500 0.0000 x4
2 I 0.0000 0.0302 0.2500 x4
3 O 0.0459 0.2280 0.9546 x8
4 O 0.2163 0.0218 0.7936 x8

---

Entry 11:
# KCoSe

A relaxed KCoSe crystal (PBE-GGA, the Alexandria database).

- D(E_F): 4.5 states/eV per cell
- Uncorrected energy: -4.319 eV/atom
- Excess energy over the best structure of this formula in the dataset: 0.000 eV/atom
- ΔE_f (raw): -0.423 eV per atom
- Spin magnetization: 1.4 μB/f.u.

a b c (Å): 3.9788 3.9788 10.3143
angles (deg): 90.00 90.00 90.00
Space group P4/nmm (No. 129, origin choice 2)
One atom of each set of equivalent atoms:
1 K 0.2500 0.2500 0.2075 x2
2 Co 0.2500 0.7500 0.5000 x2
3 Se 0.2500 0.2500 0.6279 x2

---

Entry 12:
# CaLa3Ag

A relaxed CaLa3Ag crystal (PBE-GGA, the Alexandria database).

- D(E_F): 7.7 states/eV per cell
- Uncorrected energy: -3.722 eV/atom
- Formation energy from the elements: 0.2048 eV/atom
- Excess energy over the best structure of this formula in the dataset: 0.000 eV/atom
- Spin magnetization: 2.5 μB/f.u.

a b c (Å): 5.9455 5.9455 5.9455
angles (deg): 90.00 90.00 90.00
Space group Pm-3m (No. 221)
One atom of each set of equivalent atoms:
1 Ca 0.0000 0.0000 0.0000 x1
2 La 0.0000 0.5000 0.5000 x3
3 Ag 0.5000 0.5000 0.5000 x1